Na3TeMo, optimized geometry, DFT PBE; space group = Pm-3m (221); energy = -13.2 eV/f.u.; formation energy from raw total energies = 0.95 eV per atom
1.0
5.7784 0.0000 0.0000
0.0000 5.7784 0.0000
0.0000 0.0000 5.7784
Na Te Mo
3 1 1
Cartesian
0.0000 0.0000 2.8892
0.0000 2.8892 0.0000
2.8892 0.0000 0.0000
2.8892 2.8892 2.8892
0.0000 0.0000 0.0000


Na6B11C, optimized geometry, DFT PBE; ΔH_f (0 K) = 0.28 eV per atom; space group = P-62m (189); energy = -85.6 eV/f.u.
1.0
5.1937 0.0000 0.0000
-2.5969 4.4979 0.0000
0.0000 0.0000 8.6218
Na B C
6 11 1
Cartesian
-0.8638 1.4961 2.1493
-0.8638 1.4961 6.4725
1.7276 0.0000 2.1493
1.7276 0.0000 6.4725
1.7331 3.0018 2.1493
1.7331 3.0018 6.4725
0.0000 0.0000 0.0000
-1.7322 3.0003 0.0000
-1.7759 3.0760 4.3109
0.8209 1.4219 4.3109
0.8646 1.4976 0.0000
0.0000 2.9986 0.0000
0.0000 2.9986 4.3109
3.4644 0.0000 0.0000
2.5969 1.4993 0.0000
2.5969 1.4993 4.3109
3.5519 0.0000 4.3109
0.0000 0.0000 4.3109


BaZrHO2, optimized geometry, DFT PBE; space group = P4/mmm (123); energy = -31.0 eV/f.u.
1.0
4.0906 0.0000 0.0000
0.0000 4.0906 0.0000
0.0000 0.0000 6.8900
Ba Zr H O
1 1 1 2
Cartesian
0.0000 0.0000 0.0000
0.0000 0.0000 3.4450
2.0453 2.0453 0.0000
0.0000 2.0453 3.4450
2.0453 0.0000 3.4450


Nb2CdSbPb, optimized geometry, DFT PBE; space group = P4/mmm (123); energy = -21.2 eV/f.u.; formation energy from raw total energies = 1.54 eV per atom
1.0
5.2611 0.0000 0.0000
0.0000 5.2611 0.0000
0.0000 0.0000 5.2590
Nb Cd Sb Pb
2 1 1 1
Cartesian
0.0000 2.6306 0.0000
2.6306 0.0000 0.0000
0.0000 0.0000 0.0000
0.0000 0.0000 2.6295
2.6306 2.6306 2.6295


IrRu2Cl, optimized geometry, DFT PBE; space group = I-42d (122); energy = -25.3 eV/f.u.; formation energy from raw total energies = 0.98 eV per atom
1.0
-2.9157 2.9157 4.7593
2.9157 -2.9157 4.7593
2.9157 2.9157 -4.7593
Ir Ru Cl
2 4 2
Cartesian
0.0000 0.0000 0.0000
0.0000 2.9157 2.3797
4.3735 1.4551 -1.1898
1.4551 1.4578 1.1898
-1.4578 1.4606 3.5695
1.4606 1.4578 5.9491
2.9157 0.0000 2.3797
0.0000 0.0000 4.7593


SrAc2Cd4, optimized geometry, DFT PBE; ΔH_f (0 K) = -0.11 eV per atom; space group = R-3m (166); energy = -14.3 eV/f.u.
1.0
2.8065 1.6203 9.2346
-2.8065 1.6203 9.2346
0.0000 -3.2407 9.2346
Sr Ac Cd
1 2 4
Cartesian
0.0000 0.0000 0.0000
0.0000 0.0000 6.8493
0.0000 0.0000 20.8545
0.0000 0.0000 3.4783
0.0000 0.0000 10.4195
0.0000 0.0000 17.2843
0.0000 0.0000 24.2254


YBi2Br, optimized geometry, DFT PBE; space group = I-42d (122); energy = -17.8 eV/f.u.; formation energy from raw total energies = -0.47 eV per atom
1.0
-2.2983 2.2983 12.0828
2.2983 -2.2983 12.0828
2.2983 2.2983 -12.0828
Y Bi Br
2 4 2
Cartesian
0.0000 0.0000 0.0000
0.0000 2.2983 6.0414
3.4474 0.9946 -3.0207
0.9946 1.1491 3.0207
-1.1491 1.3036 9.0621
1.3036 1.1491 15.1035
2.2983 0.0000 6.0414
0.0000 0.0000 12.0828


Na8B13C3, optimized geometry, DFT PBE; ΔH_f (0 K) = 0.18 eV per atom; space group = Amm2 (38); energy = -120.7 eV/f.u.
1.0
2.8005 0.0000 0.0000
0.0000 8.6750 5.3272
0.0000 -8.6750 5.3272
Na B C
8 13 3
Cartesian
0.0000 -6.5284 5.3272
0.0000 -2.1713 5.3382
0.0000 2.1713 5.3382
0.0000 6.5284 5.3272
1.4003 -2.1658 2.6732
1.4003 2.1658 2.6732
1.4003 -2.1692 8.0034
1.4003 2.1692 8.0034
0.0000 -4.3360 3.6501
0.0000 0.0000 1.8762
0.0000 0.0000 3.5690
0.0000 -4.3289 7.2023
0.0000 4.3360 3.6501
0.0000 0.0000 6.9923
0.0000 0.0000 8.7208
0.0000 4.3289 7.2023
1.4003 0.0000 0.8313
1.4003 -4.3307 6.0587
1.4003 0.0000 4.6408
1.4003 4.3307 6.0587
1.4003 0.0000 9.7948
1.4003 -4.3305 4.4796
1.4003 0.0000 6.1963
1.4003 4.3305 4.4796


Li2ZrIr2, optimized geometry, DFT PBE; ΔH_f (0 K) = -0.25 eV per atom; space group = I4/mmm (139); energy = -31.4 eV/f.u.
1.0
-1.6743 1.6743 7.0108
1.6743 -1.6743 7.0108
1.6743 1.6743 -7.0108
Li Zr Ir
2 1 2
Cartesian
1.6743 0.0000 3.5054
0.0000 1.6743 3.5054
0.0000 0.0000 0.0000
0.0000 0.0000 5.5412
0.0000 0.0000 8.4804


RbGe2Rh, optimized geometry, DFT PBE; ΔH_f (0 K) = -0.15 eV per atom; space group = I4_1/amd (141); energy = -18.2 eV/f.u.
1.0
-3.0701 3.0701 6.9367
3.0701 -3.0701 6.9367
3.0701 3.0701 -6.9367
Rb Ge Rh
2 4 2
Cartesian
3.0701 1.5350 1.7342
0.0000 1.5350 5.2026
0.0000 0.0000 0.0000
1.5350 1.5350 -3.4684
1.5350 -1.5350 3.4684
0.0000 3.0701 0.0000
3.0701 -1.5350 5.2026
0.0000 4.6051 1.7342


Cs3TmAg2I8, optimized geometry, DFT PBE; space group = P-3m1 (164); energy = -40.4 eV/f.u.; formation energy from raw total energies = -1.09 eV per atom
1.0
8.5352 0.0000 0.0000
-4.2676 7.3917 0.0000
0.0000 0.0000 11.0336
Cs Tm Ag I
3 1 2 8
Cartesian
0.0000 0.0000 0.0000
0.0000 4.9278 6.8909
4.2676 2.4639 4.1427
0.0000 0.0000 5.5168
0.0000 4.9278 2.2197
4.2676 2.4639 8.8139
0.0000 2.3937 3.7128
-2.1946 6.1948 3.7128
2.0730 1.1968 7.3208
0.0000 4.9278 10.5693
4.2676 2.4639 0.4643
2.1946 6.1948 3.7128
6.4622 1.1968 7.3208
4.2676 4.9980 7.3208


YTlSe2, optimized geometry, DFT PBE; space group = I-4m2 (119); energy = -19.3 eV/f.u.; formation energy from raw total energies = -0.87 eV per atom
1.0
-2.1420 2.1420 5.3752
2.1420 -2.1420 5.3752
2.1420 2.1420 -5.3752
Y Tl Se
1 1 2
Cartesian
0.0000 0.0000 0.0000
0.0000 2.1420 2.6876
2.1420 0.0000 2.6876
0.0000 0.0000 5.3752


In the order shown, the computed DOS(E_F) values come out to 0.1; 6.9; 0.9; 7.4; 5.2; 6.3; 1.5; 5.1; 1.4; 1.1; 0.0; 0.8 states/eV per cell.
In the order shown, the computed total moment values come out to 5.00; 0.00; 0.00; 3.84; 0.00; 0.00; 0.00; 0.00; 0.00; 0.00; 0.00; 0.00 μB per formula unit.